An optimized crystal structure of Na2TiAgF6, computed with PBE. Values from VASP.

Cell and atoms, written as Quantum ESPRESSO input:
```
&SYSTEM
  ibrav = 0, nat = 10, ntyp = 4
/
ATOMIC_SPECIES
Ti 47.87 Ti.upf
F 19.00 F.upf
Ag 107.87 Ag.upf
Na 22.99 Na.upf
CELL_PARAMETERS angstrom
0.0000 4.3516 4.3516
4.3516 0.0000 4.3516
4.3516 4.3516 0.0000
ATOMIC_POSITIONS angstrom
Ti 0.0000 0.0000 0.0000
F 4.3516 1.9556 4.3516
F 6.7477 4.3516 4.3516
F 1.9556 4.3516 4.3516
F 4.3516 6.7477 4.3516
F 4.3516 4.3516 1.9556
F 4.3516 4.3516 6.7477
Ag 4.3516 4.3516 4.3516
Na 6.5275 6.5275 6.5275
Na 2.1758 2.1758 2.1758
```

DOS(E_F)	7.86	states/eV per cell
formation energy without anion corrections	-2.501	eV per atom